## Rb2La2F7 (GGA-PBE)

Data for crystalline Rb2La2F7 at its relaxed geometry.

Output
calculated total energy = -5.749 eV/atom
space-group type = Cmmm, No. 65
formation energy from raw total energies = -3.486 eV/atom

```
11
Lattice="-5.758 1.161 -1.133 -1.683 -2.341 6.153 1.058 5.401 2.344" Properties=species:S:1:pos:R:3 pbc="T T T"
F -5.562 3.397 1.260
F -2.682 2.819 1.821
F -3.700 1.402 5.543
F 0.000 0.000 0.000
F -3.213 0.116 0.654
F -3.170 4.105 6.710
F -0.820 0.824 6.104
Rb -2.061 0.532 3.391
Rb -4.321 3.688 3.973
La -3.920 2.304 -0.195
La -2.462 1.917 7.559
```

---

## Rb4La6F19 (GGA-PBE)

Data for crystalline Rb4La6F19 at its relaxed geometry.

Output
calculated total energy = -5.890 eV/atom
space-group type = I23, No. 197
formation energy from raw total energies = -3.511 eV/atom

```
29
Lattice="8.979 -0.603 -3.166 0.042 2.233 9.275 -4.377 -8.387 -1.232" Properties=species:S:1:pos:R:3 pbc="T T T"
F 1.618 -3.160 -1.546
F 4.535 -2.274 3.452
F 5.010 -0.816 6.370
F -0.245 -4.547 1.185
F 2.985 -5.830 -2.852
F 2.920 -5.347 0.732
F 1.544 -1.057 4.317
F -1.470 -6.724 4.354
F -0.185 -6.294 -1.665
F -1.148 -1.210 6.296
F 0.699 -4.242 4.378
F 5.621 -5.789 -1.103
F 6.468 0.031 0.763
F 3.171 0.573 2.148
F 0.000 0.000 0.000
F -2.811 -3.991 5.215
F 5.850 1.057 3.961
F -1.524 -2.163 2.827
F 4.116 -2.273 0.183
La -1.403 -4.571 3.291
La 0.844 -2.533 6.061
La 0.854 -6.550 0.486
La 3.800 -4.224 -1.184
La 6.047 -2.187 1.586
La 3.790 -0.208 4.391
Rb -1.202 -2.304 -0.338
Rb 0.011 0.613 2.548
Rb 2.467 -0.166 -0.870
Rb 3.368 -4.901 3.537
```

---

Repeat the first record exactly.
## Rb2La2F7 (GGA-PBE)

Data for crystalline Rb2La2F7 at its relaxed geometry.

Output
calculated total energy = -5.749 eV/atom
space-group type = Cmmm, No. 65
formation energy from raw total energies = -3.486 eV/atom

```
11
Lattice="-5.758 1.161 -1.133 -1.683 -2.341 6.153 1.058 5.401 2.344" Properties=species:S:1:pos:R:3 pbc="T T T"
F -5.562 3.397 1.260
F -2.682 2.819 1.821
F -3.700 1.402 5.543
F 0.000 0.000 0.000
F -3.213 0.116 0.654
F -3.170 4.105 6.710
F -0.820 0.824 6.104
Rb -2.061 0.532 3.391
Rb -4.321 3.688 3.973
La -3.920 2.304 -0.195
La -2.462 1.917 7.559
```

---

Number 1 is which compound? Rb2La2F7

---

Which value of calculated total energy does entry 2 give? -5.890 eV/atom

---

What is the formation energy from raw total energies in the second record? -3.511 eV/atom